[1]
# AcB4 PBE optimized geometry
# * total moment: 0.00 μB per cell
# * V: 239.3 Å³ per cell
# * DOS at the Fermi energy: 3.590 states/eV/cell
# * calculated total energy: -6.59 eV per atom
data_AcB4
_cell_length_a 4.300
_cell_length_b 7.460
_cell_length_c 7.460
_cell_angle_alpha 90.00
_cell_angle_beta 90.00
_cell_angle_gamma 90.00
_space_group_name_H-M_alt 'P 1'
_space_group_IT_number 1
_space_group_name_Hall 'P 1'
loop_
_atom_site_label
_atom_site_type_symbol
_atom_site_fract_x
_atom_site_fract_y
_atom_site_fract_z
B1 B 0.500 0.409 0.909
B2 B 0.791 0.000 0.000
B3 B 0.500 0.171 0.960
B4 B 0.209 0.000 0.000
B5 B 0.500 0.460 0.671
B6 B 0.791 0.500 0.500
B7 B 0.500 0.909 0.591
B8 B 0.500 0.960 0.829
B9 B 0.209 0.500 0.500
B10 B 0.500 0.540 0.329
B11 B 0.500 0.329 0.460
B12 B 0.500 0.591 0.091
B13 B 0.500 0.040 0.171
B14 B 0.500 0.829 0.040
B15 B 0.500 0.671 0.540
B16 B 0.500 0.091 0.409
Ac1 Ac 0.000 0.682 0.818
Ac2 Ac 0.000 0.818 0.318
Ac3 Ac 0.000 0.182 0.682
Ac4 Ac 0.000 0.318 0.182

[2]
# Ba4SrMg PBE optimized geometry
# * total moment: 0.00 μB per cell
# * V: 342.4 Å³ per cell
# * DOS at the Fermi energy: 12.481 states/eV/cell
# * calculated total energy: -1.55 eV per atom
data_Ba4SrMg
_cell_length_a 7.852
_cell_length_b 7.852
_cell_length_c 7.852
_cell_angle_alpha 60.00
_cell_angle_beta 60.00
_cell_angle_gamma 60.00
_space_group_name_H-M_alt 'P 1'
_space_group_IT_number 1
_space_group_name_Hall 'P 1'
loop_
_atom_site_label
_atom_site_type_symbol
_atom_site_fract_x
_atom_site_fract_y
_atom_site_fract_z
Ba1 Ba 0.376 0.376 0.376
Ba2 Ba 0.873 0.376 0.376
Ba3 Ba 0.376 0.873 0.376
Ba4 Ba 0.376 0.376 0.873
Mg1 Mg 0.750 0.750 0.750
Sr1 Sr 0.000 0.000 0.000

[3]
# Cs2LiCeI6 PBE optimized geometry
# * total moment: 1.00 μB per cell
# * V: 461.0 Å³ per cell
# * energy relative to the elements, uncorrected: -1.413 eV per atom
# * DOS at the Fermi energy: 8.542 states/eV/cell
# * calculated total energy: -3.30 eV per atom
data_Cs2LiCeI6
_cell_length_a 8.671
_cell_length_b 8.671
_cell_length_c 8.671
_cell_angle_alpha 60.00
_cell_angle_beta 60.00
_cell_angle_gamma 60.00
_space_group_name_H-M_alt 'P 1'
_space_group_IT_number 1
_space_group_name_Hall 'P 1'
loop_
_atom_site_label
_atom_site_type_symbol
_atom_site_fract_x
_atom_site_fract_y
_atom_site_fract_z
Cs1 Cs 0.750 0.750 0.750
Cs2 Cs 0.250 0.250 0.250
I1 I 0.255 0.745 0.255
I2 I 0.745 0.745 0.255
I3 I 0.255 0.745 0.745
I4 I 0.745 0.255 0.745
I5 I 0.745 0.255 0.255
I6 I 0.255 0.255 0.745
Li1 Li 0.500 0.500 0.500
Ce1 Ce 0.000 0.000 0.000

[4]
# Cr2FeP PBE optimized geometry
# * total moment: 1.66 μB per cell
# * V: 45.2 Å³ per cell
# * DOS at the Fermi energy: 4.356 states/eV/cell
# * calculated total energy: -8.37 eV per atom
data_Cr2FeP
_cell_length_a 3.989
_cell_length_b 3.989
_cell_length_c 2.838
_cell_angle_alpha 90.00
_cell_angle_beta 90.00
_cell_angle_gamma 90.00
_space_group_name_H-M_alt 'P 1'
_space_group_IT_number 1
_space_group_name_Hall 'P 1'
loop_
_atom_site_label
_atom_site_type_symbol
_atom_site_fract_x
_atom_site_fract_y
_atom_site_fract_z
Cr1 Cr 0.500 0.500 0.000
Cr2 Cr 0.000 0.000 0.000
Fe1 Fe 0.500 0.000 0.500
P1 P 0.000 0.500 0.500

[5]
# HfSb2Rh PBE optimized geometry
# * total moment: 0.00 μB per cell
# * V: 181.5 Å³ per cell
# * energy relative to the elements, uncorrected: -0.110 eV per atom
# * DOS at the Fermi energy: 5.346 states/eV/cell
# * calculated total energy: -6.50 eV per atom
data_HfSb2Rh
_cell_length_a 4.415
_cell_length_b 4.415
_cell_length_c 9.820
_cell_angle_alpha 77.01
_cell_angle_beta 77.01
_cell_angle_gamma 90.00
_space_group_name_H-M_alt 'P 1'
_space_group_IT_number 1
_space_group_name_Hall 'P 1'
loop_
_atom_site_label
_atom_site_type_symbol
_atom_site_fract_x
_atom_site_fract_y
_atom_site_fract_z
Sb1 Sb 0.375 0.399 0.750
Sb2 Sb 0.601 0.125 0.250
Sb3 Sb 0.875 0.851 0.750
Sb4 Sb 0.149 0.625 0.250
Hf1 Hf 0.750 0.250 0.500
Hf2 Hf 0.000 0.000 0.000
Rh1 Rh 0.250 0.750 0.500
Rh2 Rh 0.500 0.500 0.000

[6]
# ZrAs2Pb PBE optimized geometry
# * total moment: 0.00 μB per cell
# * V: 92.5 Å³ per cell
# * DOS at the Fermi energy: 1.702 states/eV/cell
# * calculated total energy: -5.74 eV per atom
data_ZrAs2Pb
_cell_length_a 3.376
_cell_length_b 3.376
_cell_length_c 8.357
_cell_angle_alpha 90.00
_cell_angle_beta 90.00
_cell_angle_gamma 103.79
_space_group_name_H-M_alt 'P 1'
_space_group_IT_number 1
_space_group_name_Hall 'P 1'
loop_
_atom_site_label
_atom_site_type_symbol
_atom_site_fract_x
_atom_site_fract_y
_atom_site_fract_z
As1 As 0.000 0.000 0.961
As2 As 0.000 0.000 0.539
Zr1 Zr 0.500 0.500 0.750
Pb1 Pb 0.500 0.500 0.250

[7]
# Tb3ErTh5 PBE optimized geometry
# * total moment: 0.00 μB per cell
# * V: 601.3 Å³ per cell
# * DOS at the Fermi energy: 32.411 states/eV/cell
# * calculated total energy: -5.72 eV per atom
data_Tb3ErTh5
_cell_length_a 9.213
_cell_length_b 9.213
_cell_length_c 9.624
_cell_angle_alpha 118.60
_cell_angle_beta 118.60
_cell_angle_gamma 90.00
_space_group_name_H-M_alt 'P 1'
_space_group_IT_number 1
_space_group_name_Hall 'P 1'
loop_
_atom_site_label
_atom_site_type_symbol
_atom_site_fract_x
_atom_site_fract_y
_atom_site_fract_z
Th1 Th 0.500 0.500 0.000
Th2 Th 0.418 0.338 0.256
Th3 Th 0.582 0.662 0.744
Th4 Th 0.000 0.000 0.000
Th5 Th 0.338 0.838 0.256
Th6 Th 0.162 0.082 0.744
Th7 Th 0.662 0.162 0.744
Th8 Th 0.838 0.918 0.256
Th9 Th 0.082 0.582 0.744
Th10 Th 0.918 0.418 0.256
Tb1 Tb 0.896 0.604 0.000
Tb2 Tb 0.250 0.250 0.500
Tb3 Tb 0.396 0.896 0.000
Tb4 Tb 0.750 0.750 0.500
Tb5 Tb 0.104 0.396 0.000
Tb6 Tb 0.604 0.104 0.000
Er1 Er 0.750 0.250 0.500
Er2 Er 0.250 0.750 0.500

[8]
# Tm2AgAu PBE optimized geometry
# * total moment: 0.00 μB per cell
# * V: 90.6 Å³ per cell
# * DOS at the Fermi energy: 1.827 states/eV/cell
# * calculated total energy: -4.39 eV per atom
data_Tm2AgAu
_cell_length_a 3.533
_cell_length_b 5.064
_cell_length_c 5.064
_cell_angle_alpha 90.00
_cell_angle_beta 90.00
_cell_angle_gamma 90.00
_space_group_name_H-M_alt 'P 1'
_space_group_IT_number 1
_space_group_name_Hall 'P 1'
loop_
_atom_site_label
_atom_site_type_symbol
_atom_site_fract_x
_atom_site_fract_y
_atom_site_fract_z
Au1 Au 0.500 0.500 0.500
Tm1 Tm 0.000 0.500 0.000
Tm2 Tm 0.000 0.000 0.500
Ag1 Ag 0.500 0.000 0.000

[9]
# Nd12Y6Tm PBE optimized geometry
# * total moment: 0.00 μB per cell
# * V: 661.3 Å³ per cell
# * DOS at the Fermi energy: 33.678 states/eV/cell
# * calculated total energy: -5.16 eV per atom
data_Nd12Y6Tm
_cell_length_a 8.713
_cell_length_b 8.713
_cell_length_c 8.713
_cell_angle_alpha 89.23
_cell_angle_beta 89.23
_cell_angle_gamma 89.23
_space_group_name_H-M_alt 'P 1'
_space_group_IT_number 1
_space_group_name_Hall 'P 1'
loop_
_atom_site_label
_atom_site_type_symbol
_atom_site_fract_x
_atom_site_fract_y
_atom_site_fract_z
Nd1 Nd 0.780 0.536 0.434
Nd2 Nd 0.019 0.194 0.361
Nd3 Nd 0.806 0.639 0.981
Nd4 Nd 0.981 0.806 0.639
Nd5 Nd 0.220 0.464 0.566
Nd6 Nd 0.464 0.566 0.220
Nd7 Nd 0.434 0.780 0.536
Nd8 Nd 0.361 0.019 0.194
Nd9 Nd 0.566 0.220 0.464
Nd10 Nd 0.194 0.361 0.019
Nd11 Nd 0.639 0.981 0.806
Nd12 Nd 0.536 0.434 0.780
Y1 Y 0.261 0.099 0.704
Y2 Y 0.739 0.901 0.296
Y3 Y 0.099 0.704 0.261
Y4 Y 0.901 0.296 0.739
Y5 Y 0.296 0.739 0.901
Y6 Y 0.704 0.261 0.099
Tm1 Tm 0.000 0.000 0.000

[10]
# KTl2Au PBE optimized geometry
# * total moment: 0.00 μB per cell
# * V: 130.2 Å³ per cell
# * DOS at the Fermi energy: 1.463 states/eV/cell
# * calculated total energy: -2.41 eV per atom
data_KTl2Au
_cell_length_a 4.946
_cell_length_b 4.946
_cell_length_c 6.782
_cell_angle_alpha 68.71
_cell_angle_beta 68.71
_cell_angle_gamma 59.78
_space_group_name_H-M_alt 'P 1'
_space_group_IT_number 1
_space_group_name_Hall 'P 1'
loop_
_atom_site_label
_atom_site_type_symbol
_atom_site_fract_x
_atom_site_fract_y
_atom_site_fract_z
K1 K 0.243 0.243 0.269
Au1 Au 0.427 0.427 0.720
Tl1 Tl 0.800 0.800 0.600
Tl2 Tl 0.030 0.030 0.911

[11]
# Zr2AlHRh PBE optimized geometry
# * total moment: 0.00 μB per cell
# * V: 75.2 Å³ per cell
# * DOS at the Fermi energy: 3.306 states/eV/cell
# * calculated total energy: -6.74 eV per atom
data_Zr2AlHRh
_cell_length_a 4.239
_cell_length_b 4.184
_cell_length_c 4.239
_cell_angle_alpha 90.00
_cell_angle_beta 90.00
_cell_angle_gamma 90.00
_space_group_name_H-M_alt 'P 1'
_space_group_IT_number 1
_space_group_name_Hall 'P 1'
loop_
_atom_site_label
_atom_site_type_symbol
_atom_site_fract_x
_atom_site_fract_y
_atom_site_fract_z
Zr1 Zr 0.000 0.000 0.500
Zr2 Zr 0.500 0.000 0.000
H1 H 0.000 0.000 0.000
Rh1 Rh 0.500 0.500 0.500
Al1 Al 0.000 0.500 0.000